Version a
The following is a DFT calculation (PBE) of a geometry-optimized Co2AgW structure.

a b c (Å): 2.6931 3.2608 6.3629
angles (deg): 90.00 90.00 90.00
Space group Pmm2 (No. 25)
Symmetry-distinct sites (fractional):
Co 0.0000 0.0000 0.0000 [1 per cell]
Co 0.5000 0.5000 0.1699 [1 per cell]
Ag 0.5000 0.5000 0.7266 [1 per cell]
W 0.0000 0.0000 0.4021 [1 per cell]

**DOS at the Fermi energy**: 0.724 states/eV per atom
**Total magnetic moment**: 2.264 μB per formula unit
**Theoretical density**: 12.2 Mg/m³

---

Version b
The following is a DFT calculation (PBE) of a geometry-optimized Co2AgW structure.

a b c (Å): 6.6388 6.6388 5.4403
angles (deg): 90.00 90.00 90.00
Space group I-42d (No. 122)
Symmetry-distinct sites (fractional):
Co 0.2179 0.2500 0.1250 [8 per cell]
Ag 0.0000 0.0000 0.5000 [4 per cell]
W 0.0000 0.0000 0.0000 [4 per cell]

**DOS at the Fermi energy**: 0.539 states/eV per atom
**Total magnetic moment**: 0.000 μB per formula unit
**Theoretical density**: 11.3 Mg/m³

---

Ranked by calculated energy, most stable first: version a, version b.

---

Version a
The following is a DFT calculation (PBE) of a geometry-optimized Co2AgW structure.

a b c (Å): 4.0939 2.6832 9.9559
angles (deg): 90.00 90.00 90.00
Space group Amm2 (No. 38)
Symmetry-distinct sites (fractional):
Co 0.0000 0.0000 0.0000 [2 per cell]
Co 0.5000 0.0000 0.1286 [2 per cell]
Ag 0.5000 0.0000 0.3912 [2 per cell]
W 0.0000 0.0000 0.7261 [2 per cell]

**DOS at the Fermi energy**: 1.226 states/eV per atom
**Total magnetic moment**: 1.882 μB per formula unit
**Theoretical density**: 12.4 Mg/m³

---

Version b
The following is a DFT calculation (PBE) of a geometry-optimized Co2AgW structure.

a b c (Å): 3.9413 3.9413 6.8481
angles (deg): 90.00 90.00 90.00
Space group I4/mmm (No. 139)
Symmetry-distinct sites (fractional):
Co 0.0000 0.5000 0.2500 [4 per cell]
Ag 0.0000 0.0000 0.0000 [2 per cell]
W 0.0000 0.0000 0.5000 [2 per cell]

**DOS at the Fermi energy**: 0.618 states/eV per atom
**Total magnetic moment**: 0.000 μB per formula unit
**Theoretical density**: 12.8 Mg/m³

---

Version c
The following is a DFT calculation (PBE) of a geometry-optimized Co2AgW structure.

a b c (Å): 2.7508 2.7508 7.2735
angles (deg): 90.00 90.00 90.00
Space group P4/mmm (No. 123)
Symmetry-distinct sites (fractional):
Co 0.0000 0.0000 0.2313 [2 per cell]
Ag 0.5000 0.5000 0.5000 [1 per cell]
W 0.5000 0.5000 0.0000 [1 per cell]

**DOS at the Fermi energy**: 1.411 states/eV per atom
**Total magnetic moment**: 0.001 μB per formula unit
**Theoretical density**: 12.4 Mg/m³

---

Ranked by calculated energy, most stable first: version c, version b, version a.

---

Version a
The following is a DFT calculation (PBE) of a geometry-optimized CoAgW3 structure.

a b c (Å): 4.7294 4.7294 4.7294
angles (deg): 90.00 90.00 90.00
Space group Pm-3m (No. 221)
Symmetry-distinct sites (fractional):
Co 0.0000 0.0000 0.0000 [1 per cell]
Ag 0.5000 0.5000 0.5000 [1 per cell]
W 0.0000 0.5000 0.5000 [3 per cell]

**DOS at the Fermi energy**: 2.661 states/eV per atom
**Total magnetic moment**: 0.000 μB per formula unit
**Theoretical density**: 11.3 Mg/m³

---

Version b
The following is a DFT calculation (PBE) of a geometry-optimized CoAgW3 structure.

a b c (Å): 4.4708 4.4708 4.4708
angles (deg): 90.00 90.00 90.00
Space group Pm-3m (No. 221)
Symmetry-distinct sites (fractional):
Co 0.0000 0.0000 0.0000 [1 per cell]
Ag 0.5000 0.5000 0.5000 [1 per cell]
W 0.0000 0.0000 0.5000 [3 per cell]

**DOS at the Fermi energy**: 1.094 states/eV per atom
**Total magnetic moment**: 0.000 μB per formula unit
**Theoretical density**: 13.3 Mg/m³

---

Ranked by calculated energy, most stable first: version b, version a.

---

Version a
The following is a DFT calculation (PBE) of a geometry-optimized Co2Ag2W structure.

a b c (Å): 6.0058 6.0058 4.1903
angles (deg): 90.00 90.00 90.00
Space group P4/mbm (No. 127)
Symmetry-distinct sites (fractional):
Co 0.1299 0.3701 0.0000 [4 per cell]
Ag 0.1735 0.6735 0.5000 [4 per cell]
W 0.0000 0.0000 0.0000 [2 per cell]

**DOS at the Fermi energy**: 1.085 states/eV per atom
**Total magnetic moment**: 0.000 μB per formula unit
**Theoretical density**: 11.4 Mg/m³

---

Version b
The following is a DFT calculation (PBE) of a geometry-optimized Co2Ag2W structure.

a b c (Å): 3.5910 3.5910 12.1104
angles (deg): 90.00 90.00 90.00
Space group I4/mmm (No. 139)
Symmetry-distinct sites (fractional):
Co 0.0000 0.0000 0.0877 [4 per cell]
Ag 0.0000 0.5000 0.2500 [4 per cell]
W 0.0000 0.0000 0.5000 [2 per cell]

**DOS at the Fermi energy**: 1.160 states/eV per atom
**Total magnetic moment**: 3.591 μB per formula unit
**Theoretical density**: 11.0 Mg/m³

---

Ranked by calculated energy, most stable first: version a, version b.

---

Version a
The following is a DFT calculation (PBE) of a geometry-optimized YCo2Ag2 structure.

a b c (Å): 3.9922 3.9922 11.2902
angles (deg): 90.00 90.00 90.00
Space group I4/mmm (No. 139)
Symmetry-distinct sites (fractional):
Y 0.0000 0.0000 0.0000 [2 per cell]
Co 0.0000 0.0000 0.4063 [4 per cell]
Ag 0.0000 0.5000 0.2500 [4 per cell]

**DOS at the Fermi energy**: 0.880 states/eV per atom
**Total magnetic moment**: 2.444 μB per formula unit
**Theoretical density**: 7.8 Mg/m³

---

Version b
The following is a DFT calculation (PBE) of a geometry-optimized YCo2Ag2 structure.

a b c (Å): 3.7028 3.7028 13.2787
angles (deg): 90.00 90.00 90.00
Space group I4/mmm (No. 139)
Symmetry-distinct sites (fractional):
Y 0.0000 0.0000 0.0000 [2 per cell]
Co 0.0000 0.5000 0.2500 [4 per cell]
Ag 0.0000 0.0000 0.3924 [4 per cell]

**DOS at the Fermi energy**: 1.149 states/eV per atom
**Total magnetic moment**: 3.129 μB per formula unit
**Theoretical density**: 7.7 Mg/m³

---

Ranked by calculated energy, most stable first: version a, version b.

---

Version a
The following is a DFT calculation (PBE) of a geometry-optimized Y8CoAg2 structure.

a b c (Å): 17.4146 5.2449 6.8001
angles (deg): 90.00 107.46 90.00
Space group C2/m (No. 12)
Symmetry-distinct sites (fractional):
Y 0.0271 0.0000 0.2917 [4 per cell]
Y 0.0888 0.5000 0.9271 [4 per cell]
Y 0.1566 0.5000 0.4672 [4 per cell]
Y 0.2009 0.0000 0.8083 [4 per cell]
Co 0.0000 0.5000 0.5000 [2 per cell]
Ag 0.1846 0.0000 0.2196 [4 per cell]

**DOS at the Fermi energy**: 0.992 states/eV per atom
**Total magnetic moment**: 0.000 μB per formula unit
**Theoretical density**: 5.5 Mg/m³

---

Version b
The following is a DFT calculation (PBE) of a geometry-optimized Y8CoAg2 structure.

a b c (Å): 7.4692 15.9727 6.0354
angles (deg): 90.00 121.99 90.00
Space group Cm (No. 8)
Symmetry-distinct sites (fractional):
Y 0.0000 0.0000 0.0000 [2 per cell]
Y 0.0304 0.3868 0.8666 [4 per cell]
Y 0.0357 0.5000 0.3607 [2 per cell]
Y 0.2656 0.1962 0.2035 [4 per cell]
Y 0.4950 0.3887 0.5092 [4 per cell]
Co 0.2691 0.0000 0.5008 [2 per cell]
Ag 0.2709 0.2817 0.7044 [4 per cell]

**DOS at the Fermi energy**: 1.165 states/eV per atom
**Total magnetic moment**: 0.000 μB per formula unit
**Theoretical density**: 5.4 Mg/m³

---

Ranked by calculated energy, most stable first: version a, version b.